(1)
## LaMg2Os (PBE-GGA)

Data for LaMg2Os after structural relaxation.

Summary:
**DFT formation energy**: 23.9 kJ per mole of atoms
**Calculated total energy**: -4.59 eV/atom

The structure in CIF format:
```
data_LaMg2Os
_cell_length_a 6.924
_cell_length_b 6.924
_cell_length_c 6.924
_cell_angle_alpha 90.00
_cell_angle_beta 90.00
_cell_angle_gamma 90.00
_symmetry_space_group_name_H-M 'F m -3 m'
_symmetry_Int_Tables_number 225
_symmetry_space_group_name_Hall '-F 4 2 3'
loop_
_atom_site_label
_atom_site_type_symbol
_atom_site_fract_x
_atom_site_fract_y
_atom_site_fract_z
La1 La 0.000 0.000 0.000
Mg1 Mg 0.250 0.250 0.250
Os1 Os 0.000 0.000 0.500
```

---

(2)
## ZnTcP2 (PBE-GGA)

Data for ZnTcP2 after structural relaxation.

Summary:
**DFT formation energy**: 32.1 kJ per mole of atoms
**Calculated total energy**: -5.28 eV/atom

The structure in CIF format:
```
data_ZnTcP2
_cell_length_a 3.272
_cell_length_b 3.771
_cell_length_c 4.615
_cell_angle_alpha 90.00
_cell_angle_beta 90.00
_cell_angle_gamma 90.00
_symmetry_space_group_name_H-M 'P m m m'
_symmetry_Int_Tables_number 47
loop_
_symmetry_equiv_pos_as_xyz
'x,y,z'
'-x,-y,-z'
'-x,-y,z'
'x,y,-z'
'x,-y,-z'
'-x,y,z'
'-x,y,-z'
'x,-y,z'
loop_
_atom_site_label
_atom_site_type_symbol
_atom_site_fract_x
_atom_site_fract_y
_atom_site_fract_z
Zn1 Zn 0.000 0.000 0.000
Tc1 Tc 0.500 0.000 0.500
P1 P 0.000 0.500 0.500
P2 P 0.500 0.500 0.000
```

---

(3)
## Tb2NdDyTl2 (PBE-GGA)

Data for Tb2NdDyTl2 after structural relaxation.

Summary:
**DFT formation energy**: -26.1 kJ per mole of atoms
**Calculated total energy**: -4.16 eV/atom

The structure in CIF format:
```
data_Tb2NdDyTl2
_cell_length_a 5.162
_cell_length_b 10.091
_cell_length_c 6.854
_cell_angle_alpha 90.00
_cell_angle_beta 90.00
_cell_angle_gamma 90.00
_symmetry_space_group_name_H-M 'P m c 21'
_symmetry_Int_Tables_number 26
loop_
_symmetry_equiv_pos_as_xyz
'x,y,z'
'-x,-y,z+1/2'
'-x,y,z'
'x,-y,z+1/2'
loop_
_atom_site_label
_atom_site_type_symbol
_atom_site_fract_x
_atom_site_fract_y
_atom_site_fract_z
Tb1 Tb 0.000 0.044 0.000
Tb2 Tb 0.500 0.182 0.283
Nd1 Nd 0.500 0.457 0.909
Dy1 Dy 0.000 0.310 0.631
Tl1 Tl 0.000 0.363 0.170
Tl2 Tl 0.500 0.134 0.746
```